VASP calculation (GGA-PBE) on KCuPO4 after structural relaxation.

abc: 5.0504 9.7449 8.4018
angles: 90.00 92.64 90.00
Last column: nearest neighbours and their distance in Å.
Space group P2_1 (No. 4)
Symmetry-distinct sites (fractional):
1 K 0.2218 0.0000 0.2684 [2 per cell]  6 O 2.68-3.00
2 K 0.2353 0.8527 0.7560 [2 per cell]  5 O 2.71-2.97
3 Cu 0.2402 0.2241 0.9198 [2 per cell]  4 O 1.93-1.99
4 Cu 0.3565 0.6193 0.4034 [2 per cell]  4 O 1.94-2.05
5 P 0.2493 0.5418 0.0435 [2 per cell]  4 O 1.55-1.56
6 P 0.2642 0.3105 0.5594 [2 per cell]  4 O 1.52-1.61
7 O 0.0314 0.7793 0.4443 [2 per cell]  1 P 1.52
8 O 0.0889 0.6678 0.9768 [2 per cell]  1 P 1.56
9 O 0.1478 0.4148 0.9489 [2 per cell]  1 P 1.55
10 O 0.2025 0.5173 0.2234 [2 per cell]  1 P 1.56
11 O 0.3158 0.4670 0.5547 [2 per cell]  1 P 1.55
12 O 0.4149 0.2267 0.4326 [2 per cell]  1 P 1.57
13 O 0.4197 0.2550 0.7185 [2 per cell]  1 P 1.61
14 O 0.4491 0.0628 0.9829 [2 per cell]  1 P 1.56

## Properties
Energy relative to the elements, uncorrected, eV/f.u.: -12.53
Relative energy among the computed polymorphs, meV per atom: 14
Total energy, Ry per atom: -0.451

VASP calculation (GGA-PBE) on K2CuPO4 after structural relaxation.

abc: 5.1591 11.1689 19.4633
angles: 90.00 90.00 90.00
Last column: nearest neighbours and their distance in Å.
Space group Fddd (No. 70, origin choice 2)
Symmetry-distinct sites (fractional):
1 K 0.1250 0.1250 0.3002 [16 per cell]  6 O 2.96-3.17
2 Cu 0.1250 0.1250 0.1250 [8 per cell]  4 O 2.08
3 P 0.1250 0.1250 0.6250 [8 per cell]  4 O 1.57
4 O 0.0543 0.2927 0.8302 [32 per cell]  1 P 1.57

## Properties
Energy relative to the elements, uncorrected, eV/f.u.: -13.78
Total energy, Ry per atom: -0.416

VASP calculation (GGA-PBE) on KCuPO4 after structural relaxation.

abc: 6.8504 18.0923 6.8942
angles: 90.00 90.00 90.00
Last column: nearest neighbours and their distance in Å.
Space group Pbca (No. 61)
Symmetry-distinct sites (fractional):
1 K 0.0184 0.1749 0.0360 [8 per cell]  5 O 2.65-2.95
2 Cu 0.2282 0.5038 0.2860 [8 per cell]  4 O 1.94-2.01
3 P 0.0094 0.6049 0.9743 [8 per cell]  4 O 1.52-1.61
4 O 0.0613 0.0802 0.7312 [8 per cell]  1 P 1.56
5 O 0.0822 0.6840 0.9723 [8 per cell]  1 P 1.52
6 O 0.1541 0.0960 0.3693 [8 per cell]  1 P 1.56
7 O 0.1838 0.5491 0.0276 [8 per cell]  1 P 1.61

## Properties
Energy relative to the elements, uncorrected, eV/f.u.: -12.63
Relative energy among the computed polymorphs, meV per atom: 0
Total energy, Ry per atom: -0.452

VASP calculation (GGA-PBE) on KCuP2O6 after structural relaxation.

abc: 10.9355 12.4753 4.6761
angles: 90.00 100.04 90.00
Last column: nearest neighbours and their distance in Å.
Space group C2/c (No. 15)
Symmetry-distinct sites (fractional):
1 K 0.0000 0.1255 0.2500 [4 per cell]  6 O 2.80-3.10
2 Cu 0.0000 0.3356 0.7500 [4 per cell]  2 O 1.85
3 P 0.2157 0.4276 0.1648 [8 per cell]  4 O 1.49-1.64
4 O 0.1300 0.3345 0.0622 [8 per cell]  1 P 1.52
5 O 0.1474 0.0883 0.7946 [8 per cell]  1 P 1.49
6 O 0.1724 0.4679 0.4612 [8 per cell]  2 P 1.62-1.64

## Properties
Energy relative to the elements, uncorrected, eV/f.u.: -19.02
Total energy, Ry per atom: -0.476

VASP calculation (GGA-PBE) on K2CuP2O7 after structural relaxation.

abc: 14.5944 5.2973 9.8295
angles: 90.00 90.00 90.00
Last column: nearest neighbours and their distance in Å.
Space group Pnma (No. 62)
Symmetry-distinct sites (fractional):
1 K 0.0976 0.2500 0.1279 [4 per cell]  9 O 2.84-3.15
2 K 0.2095 0.7500 0.3599 [4 per cell]  7 O 2.64-2.91
3 Cu 0.1542 0.7500 0.7305 [4 per cell]  4 O 1.96-1.98
4 P 0.0448 0.2500 0.7731 [4 per cell]  4 O 1.50-1.64
5 P 0.1753 0.2500 0.5585 [4 per cell]  4 O 1.51-1.64
6 O 0.0578 0.7500 0.2130 [4 per cell]  1 P 1.50
7 O 0.0685 0.2500 0.6098 [4 per cell]  2 P 1.64
8 O 0.0907 0.0112 0.8350 [8 per cell]  1 P 1.56
9 O 0.1753 0.2500 0.4051 [4 per cell]  1 P 1.51
10 O 0.2192 0.0080 0.6207 [8 per cell]  1 P 1.56

## Properties
Energy relative to the elements, uncorrected, eV/f.u.: -24.00
Relative energy among the computed polymorphs, meV per atom: 3
Total energy, Ry per atom: -0.464

VASP calculation (GGA-PBE) on K2CuP2O7 after structural relaxation.

abc: 8.1823 8.1823 5.5638
angles: 90.00 90.00 90.00
Last column: nearest neighbours and their distance in Å.
Space group P-42_1m (No. 113)
Symmetry-distinct sites (fractional):
1 K 0.1669 0.3331 0.0089 [4 per cell]  6 O 2.71-2.91
2 Cu 0.0000 0.0000 0.5000 [2 per cell]  4 O 1.96
3 P 0.1333 0.6333 0.5156 [4 per cell]  4 O 1.51-1.64
4 O 0.0000 0.5000 0.6185 [2 per cell]  2 P 1.64
5 O 0.0778 0.7940 0.6375 [8 per cell]  1 P 1.55
6 O 0.1336 0.6336 0.2450 [4 per cell]  1 P 1.51

## Properties
Energy relative to the elements, uncorrected, eV/f.u.: -24.04
Relative energy among the computed polymorphs, meV per atom: 0
Total energy, Ry per atom: -0.465

VASP calculation (GGA-PBE) on KCuPO4 after structural relaxation.

abc: 7.9827 7.9827 7.9827
angles: 90.00 90.00 90.00
Last column: nearest neighbours and their distance in Å.
Space group F-43m (No. 216)
Symmetry-distinct sites (fractional):
1 K 0.0000 0.0000 0.0000 [4 per cell]  12 O 3.35, 4 Cu 3.46
2 Cu 0.2500 0.2500 0.2500 [4 per cell]  4 O 1.91
3 P 0.0000 0.0000 0.5000 [4 per cell]  4 O 1.54
4 O 0.1115 0.1115 0.3885 [16 per cell]  1 P 1.54

## Properties
Energy relative to the elements, uncorrected, eV/f.u.: -11.63
Relative energy among the computed polymorphs, meV per atom: 143
Total energy, Ry per atom: -0.442

VASP calculation (GGA-PBE) on K3PaCu2O6 after structural relaxation.

abc: 6.1463 6.1463 7.0745
angles: 90.00 90.00 120.00
Last column: nearest neighbours and their distance in Å.
Space group P-3m1 (No. 164)
Symmetry-distinct sites (fractional):
1 K 0.0000 0.0000 0.0000 [1 per cell]  6 O 2.76
2 K 0.3333 0.6667 0.7309 [2 per cell]  6 O 3.09, 1 Cu 3.11
3 Pa 0.0000 0.0000 0.5000 [1 per cell]  6 O 2.18
4 Cu 0.3333 0.6667 0.2911 [2 per cell]  3 O 1.85
5 O 0.1598 0.3195 0.3067 [6 per cell]  1 Cu 1.85

## Properties
Energy relative to the elements, uncorrected, eV/f.u.: -21.37
Total energy, Ry per atom: -0.442